Below is CaPb3 at its PBEsol-relaxed geometry, with properties calculated at the meta-GGA SCAN level.

The value obtained for the energy relative to the elements is -0.34 eV/atom. As for the density of states at the Fermi level: 1.96 states/eV/f.u. The total magnetic moment comes out at 0.0 μB per cell.

The structure belongs to space group C2/m (No. 12); the cell edges are 11.619, 3.748 and 5.570 Å and the angles 90.00°, 106.50° and 90.00°. The asymmetric unit holds Ca at (0.000, 0.000, 0.000), Pb at (0.000, 0.500, 0.500) and Pb at (0.248, 0.000, 0.742).